A geometry-optimized Cs4CdCl6 structure, computed with PBE-GGA.

Lattice parameters (Å, degrees): 9.4138 9.4138 9.4138 88.62 88.62 88.62
Closest atoms and distances in Å follow each position.
Atoms (fractional coordinates):
Cs: 0.1211 0.7500 0.3789  8 Cl 3.54-3.75
Cs: 0.2500 0.2500 0.2500  6 Cl 3.42
Cs: 0.2500 0.6211 0.8789  8 Cl 3.54-3.75
Cs: 0.3789 0.1211 0.7500  8 Cl 3.54-3.75
Cs: 0.6211 0.8789 0.2500  8 Cl 3.54-3.75
Cs: 0.7500 0.3789 0.1211  8 Cl 3.54-3.75
Cs: 0.7500 0.7500 0.7500  6 Cl 3.42
Cs: 0.8789 0.2500 0.6211  8 Cl 3.54-3.75
Cd: 0.0000 0.0000 0.0000  6 Cl 2.71
Cd: 0.5000 0.5000 0.5000  6 Cl 2.71
Cl: 0.0617 0.9286 0.7280  1 Cd 2.71
Cl: 0.0714 0.2720 0.9383  1 Cd 2.71
Cl: 0.2280 0.4286 0.5617  1 Cd 2.71
Cl: 0.2720 0.9383 0.0714  1 Cd 2.71
Cl: 0.4286 0.5617 0.2280  1 Cd 2.71
Cl: 0.4383 0.7720 0.5714  1 Cd 2.71
Cl: 0.5617 0.2280 0.4286  1 Cd 2.71
Cl: 0.5714 0.4383 0.7720  1 Cd 2.71
Cl: 0.7280 0.0617 0.9286  1 Cd 2.71
Cl: 0.7720 0.5714 0.4383  1 Cd 2.71
Cl: 0.9286 0.7280 0.0617  1 Cd 2.71
Cl: 0.9383 0.0714 0.2720  1 Cd 2.71

Computed properties:
* total moment: 0.00 μB/cell
* calculated total energy: -69.56 eV/cell
* calculated volume: 37.9 A^3/atom
* energy relative to the elements, uncorrected: -1.7608 eV/atom



A geometry-optimized PuZnHg structure, computed with PBE-GGA.

Lattice parameters (Å, degrees): 6.8904 6.8904 6.8904 153.38 153.38 38.01
Closest atoms and distances in Å follow each position.
Atoms (fractional coordinates):
Pu: 0.0000 0.0000 0.0000  4 Zn 3.11, 4 Pu 3.17, 4 Hg 3.31
Zn: 0.6654 0.6654 0.0000  4 Hg 2.96, 4 Pu 3.11, 4 Zn 3.17
Hg: 0.3133 0.3133 0.0000  4 Zn 2.96, 4 Hg 3.17, 4 Pu 3.31

Computed properties:
* total moment: 5.77 μB/cell
* calculated total energy: -16.07 eV/cell
* energy above the most stable polymorph in this dataset: 10.6 kJ/mol of atoms
* calculated volume: 21.9 A^3/atom
* formation enthalpy at 0 K: -1.26 kcal/mol of atoms



A geometry-optimized Pm3Tm6Th structure, computed with PBE-GGA.

Lattice parameters (Å, degrees): 6.8781 6.8781 6.8781 91.15 91.15 91.15
Closest atoms and distances in Å follow each position.
Atoms (fractional coordinates):
Pm: 0.0000 0.0000 0.0000  1 Pm 2.83, 1 Th 3.00
Pm: 0.2428 0.2428 0.2428  2 Pm 2.83
Pm: 0.4857 0.4857 0.4857  1 Pm 2.83, 1 Th 3.00
Tm: 0.0710 0.4136 0.7423  1 Th 3.23, 2 Pm 3.41-3.42
Tm: 0.2424 0.9095 0.5755  3 Pm 3.27-3.44
Tm: 0.4136 0.7423 0.0710  1 Th 3.23, 2 Pm 3.41-3.42
Tm: 0.5755 0.2424 0.9095  3 Pm 3.27-3.44
Tm: 0.7423 0.0710 0.4136  1 Th 3.23, 2 Pm 3.41-3.42
Tm: 0.9095 0.5755 0.2424  3 Pm 3.27-3.44
Th: 0.7428 0.7428 0.7428  2 Pm 3.00, 3 Tm 3.23

Computed properties:
* total moment: 0.00 μB/cell
* calculated total energy: -45.25 eV/cell
* energy above the most stable polymorph in this dataset: 16.1 kJ/mol of atoms
* calculated volume: 32.5 A^3/atom
* formation enthalpy at 0 K: 7.51 kcal/mol of atoms



A geometry-optimized RbNaSnAu2 structure, computed with PBE-GGA.

Lattice parameters (Å, degrees): 5.4426 5.4426 5.4929 90.00 90.00 90.00
Closest atoms and distances in Å follow each position.
Atoms (fractional coordinates):
Rb: 0.0000 0.0000 0.0000  4 Sn 3.85, 8 Au 3.87
Na: 0.5000 0.5000 0.5000  4 Au 2.72, 2 Sn 2.75
Sn: 0.5000 0.5000 0.0000  2 Na 2.75
Au: 0.0000 0.5000 0.5000  2 Na 2.72
Au: 0.5000 0.0000 0.5000  2 Na 2.72

Computed properties:
* total moment: 0.00 μB/cell
* calculated total energy: -11.35 eV/cell
* energy above the most stable polymorph in this dataset: 42.3 kJ/mol of atoms
* calculated volume: 32.5 A^3/atom
* formation enthalpy at 0 K: 6.90 kcal/mol of atoms



A geometry-optimized Dy5YTl6 structure, computed with PBE-GGA.

Lattice parameters (Å, degrees): 9.3099 9.3099 5.3737 106.67 106.67 120.36
Closest atoms and distances in Å follow each position.
Atoms (fractional coordinates):
Dy: 0.0000 0.0000 0.0000  8 Tl 3.28-3.29
Dy: 0.1668 0.8332 0.5000  8 Tl 3.28-3.29
Dy: 0.3335 0.6665 0.0000  8 Tl 3.28-3.29
Dy: 0.6665 0.3335 0.0000  8 Tl 3.28-3.29
Dy: 0.8332 0.1668 0.5000  8 Tl 3.28-3.29
Y: 0.5000 0.5000 0.5000  8 Tl 3.28-3.30
Tl: 0.0830 0.4166 0.2497  7 Dy 3.28-3.29, 1 Y 3.29
Tl: 0.2495 0.2495 0.7493  6 Dy 3.28-3.29, 2 Y 3.28-3.30
Tl: 0.4166 0.0830 0.2497  7 Dy 3.28-3.29, 1 Y 3.29
Tl: 0.5834 0.9170 0.7503  7 Dy 3.28-3.29, 1 Y 3.29
Tl: 0.7505 0.7505 0.2507  6 Dy 3.28-3.29, 2 Y 3.28-3.30
Tl: 0.9170 0.5834 0.7503  7 Dy 3.28-3.29, 1 Y 3.29

Computed properties:
* total moment: 0.00 μB/cell
* calculated total energy: -47.82 eV/cell
* calculated volume: 27.4 A^3/atom
* formation enthalpy at 0 K: -7.96 kcal/mol of atoms



A geometry-optimized Pr5Sb4O structure, computed with PBE-GGA.

Lattice parameters (Å, degrees): 7.6568 7.6568 7.6568 100.10 100.10 130.48
Closest atoms and distances in Å follow each position.
Atoms (fractional coordinates):
Pr: 0.0000 0.0000 0.0000  1 O 2.23
Pr: 0.1342 0.3165 0.6214  1 O 2.95, 5 Sb 3.17-3.22
Pr: 0.3165 0.6951 0.1823  1 O 2.95, 5 Sb 3.17-3.22
Pr: 0.5128 0.1342 0.8177  1 O 2.95, 5 Sb 3.17-3.22
Pr: 0.6951 0.5128 0.3786  1 O 2.95, 5 Sb 3.17-3.22
Sb: 0.0048 0.6114 0.7881  6 Pr 3.15-3.22
Sb: 0.2166 0.0048 0.3934  6 Pr 3.15-3.22
Sb: 0.6114 0.8233 0.6066  6 Pr 3.15-3.22
Sb: 0.8233 0.2166 0.2119  6 Pr 3.15-3.22
O: 0.3482 0.3482 0.0000  1 Pr 2.23

Computed properties:
* total moment: 0.00 μB/cell
* calculated total energy: -58.99 eV/cell
* calculated volume: 31.0 A^3/atom
* energy relative to the elements, uncorrected: -1.3640 eV/atom